Entry 1:
# Al2CuIr | Alexandria via LeMat-Bulk | GGA-PBE | relaxed
# ΔE_f	-0.053	eV/atom
# symmetry	Cmm2
# calculated total energy	-20.7	eV/cell
data_Al2CuIr
_chemical_formula_sum 'Al2 Cu1 Ir1'
_cell_length_a 2.770
_cell_length_b 2.770
_cell_length_c 8.576
_cell_angle_alpha 90.00
_cell_angle_beta 90.00
_cell_angle_gamma 117.21
_space_group_name_H-M_alt 'P 1'
_space_group_IT_number 1
_space_group_name_Hall 'P 1'
loop_
_atom_site_label
_atom_site_fract_x
_atom_site_fract_y
_atom_site_fract_z
Al1 0.000 0.000 0.000
Al2 0.500 0.500 0.269
Cu1 0.000 0.000 0.507
Ir1 0.500 0.500 0.767

Entry 2:
# Al4Cu2Ir | Alexandria via LeMat-Bulk | GGA-PBE | relaxed
# ΔE_f	-0.474	eV/atom
# symmetry	Cmmm
# calculated total energy	-35.3	eV/cell
data_Al4Cu2Ir
_chemical_formula_sum 'Al4 Cu2 Ir1'
_cell_length_a 5.102
_cell_length_b 5.102
_cell_length_c 4.116
_cell_angle_alpha 90.00
_cell_angle_beta 90.00
_cell_angle_gamma 106.22
_space_group_name_H-M_alt 'P 1'
_space_group_IT_number 1
_space_group_name_Hall 'P 1'
loop_
_atom_site_label
_atom_site_fract_x
_atom_site_fract_y
_atom_site_fract_z
Al1 0.000 0.500 0.500
Al2 0.225 0.225 0.000
Al3 0.500 0.000 0.500
Al4 0.775 0.775 0.000
Cu1 0.262 0.738 0.000
Cu2 0.738 0.262 0.000
Ir1 0.500 0.500 0.500

Entry 3:
# AlCuIr | Alexandria via LeMat-Bulk | GGA-PBE | relaxed
# ΔE_f	-0.399	eV/atom
# symmetry	Cmcm
# relative energy among the computed polymorphs	2.3	kJ/mol of atoms
# calculated total energy	-35.8	eV/cell
data_AlCuIr
_chemical_formula_sum 'Al2 Cu2 Ir2'
_cell_length_a 4.577
_cell_length_b 4.577
_cell_length_c 4.890
_cell_angle_alpha 90.00
_cell_angle_beta 90.00
_cell_angle_gamma 127.17
_space_group_name_H-M_alt 'P 1'
_space_group_IT_number 1
_space_group_name_Hall 'P 1'
loop_
_atom_site_label
_atom_site_fract_x
_atom_site_fract_y
_atom_site_fract_z
Al1 0.112 0.888 0.750
Al2 0.888 0.112 0.250
Cu1 0.500 0.500 0.000
Cu2 0.500 0.500 0.500
Ir1 0.206 0.794 0.250
Ir2 0.794 0.206 0.750

Entry 4:
# AlCuIr | Alexandria via LeMat-Bulk | GGA-PBE | relaxed
# ΔE_f	-0.397	eV/atom
# symmetry	P3m1
# relative energy among the computed polymorphs	2.4	kJ/mol of atoms
# calculated total energy	-17.9	eV/cell
data_AlCuIr
_chemical_formula_sum 'Al1 Cu1 Ir1'
_cell_length_a 4.091
_cell_length_b 4.091
_cell_length_c 2.786
_cell_angle_alpha 90.00
_cell_angle_beta 90.00
_cell_angle_gamma 120.00
_space_group_name_H-M_alt 'P 1'
_space_group_IT_number 1
_space_group_name_Hall 'P 1'
loop_
_atom_site_label
_atom_site_fract_x
_atom_site_fract_y
_atom_site_fract_z
Al1 0.000 0.000 0.000
Cu1 0.333 0.667 0.027
Ir1 0.667 0.333 0.519

Entry 5:
# AlCuIr2 | Alexandria via LeMat-Bulk | GGA-PBE | relaxed
# ΔE_f	0.182	eV/atom
# symmetry	I-42d
# calculated total energy	-49.7	eV/cell
data_AlCuIr2
_chemical_formula_sum 'Al2 Cu2 Ir4'
_cell_length_a 9.050
_cell_length_b 9.050
_cell_length_c 9.050
_cell_angle_alpha 155.85
_cell_angle_beta 155.85
_cell_angle_gamma 34.41
_space_group_name_H-M_alt 'P 1'
_space_group_IT_number 1
_space_group_name_Hall 'P 1'
loop_
_atom_site_label
_atom_site_fract_x
_atom_site_fract_y
_atom_site_fract_z
Al1 0.000 0.000 0.000
Al2 0.750 0.250 0.500
Cu1 0.250 0.750 0.500
Cu2 0.500 0.500 0.000
Ir1 0.142 0.625 0.017
Ir2 0.375 0.392 0.517
Ir3 0.608 0.125 0.983
Ir4 0.875 0.858 0.483

Entry 6:
# AlCuIr2 | Alexandria via LeMat-Bulk | GGA-PBE | relaxed
# ΔE_f	-0.351	eV/atom
# symmetry	Cm
# calculated total energy	-27.0	eV/cell
data_AlCuIr2
_chemical_formula_sum 'Al1 Cu1 Ir2'
_cell_length_a 5.031
_cell_length_b 5.031
_cell_length_c 4.492
_cell_angle_alpha 113.50
_cell_angle_beta 113.50
_cell_angle_gamma 32.25
_space_group_name_H-M_alt 'P 1'
_space_group_IT_number 1
_space_group_name_Hall 'P 1'
loop_
_atom_site_label
_atom_site_fract_x
_atom_site_fract_y
_atom_site_fract_z
Al1 0.000 0.000 0.000
Cu1 0.760 0.760 0.419
Ir1 0.251 0.251 0.917
Ir2 0.508 0.508 0.498

Number 1: M_tot 0.00 μB per formula unit. Number 2: M_tot 0.00 μB per formula unit. Number 3: M_tot 0.00 μB per formula unit. Number 4: M_tot 0.00 μB per formula unit. Number 5: M_tot 0.00 μB per formula unit. Number 6: M_tot 0.00 μB per formula unit.